Record 1
Computed, not measured: a PBEsol-optimized structure of Tm3Sb5O12 at the meta-GGA SCAN level of DFT.

Raw formation energy (eV per atom): -2.448
Final energy (eV/atom): -23.28

The structure in POSCAR format:
```
Tm3Sb5O12
1.0
-5.302 5.302 5.302
5.302 -5.302 5.302
5.302 5.302 -5.302
Tm Sb O
6 10 24
Cartesian
5.302 2.651 0.000 Tm
5.302 0.000 2.651 Tm
2.651 5.302 0.000 Tm
2.651 0.000 5.302 Tm
0.000 5.302 2.651 Tm
0.000 2.651 5.302 Tm
2.534 2.534 -2.534 Sb
2.964 0.000 0.000 Sb
2.534 -2.534 2.534 Sb
7.639 0.000 0.000 Sb
0.000 2.964 0.000 Sb
0.000 0.000 2.964 Sb
-2.534 2.534 2.534 Sb
2.767 2.767 2.767 Sb
0.000 7.639 0.000 Sb
0.000 0.000 7.639 Sb
4.204 1.091 -1.091 O
4.204 -1.091 1.091 O
6.969 1.473 -1.473 O
6.969 -1.473 1.473 O
3.829 3.829 -1.668 O
3.829 -1.668 3.829 O
6.399 1.091 1.091 O
3.634 1.473 1.473 O
1.091 4.204 -1.091 O
1.091 -1.091 4.204 O
1.473 3.634 1.473 O
1.473 1.473 3.634 O
-1.091 4.204 1.091 O
-1.091 1.091 4.204 O
4.211 4.211 1.097 O
4.211 1.097 4.211 O
1.473 6.969 -1.473 O
1.473 -1.473 6.969 O
1.091 6.399 1.091 O
1.091 1.091 6.399 O
-1.668 3.829 3.829 O
1.097 4.211 4.211 O
-1.473 6.969 1.473 O
-1.473 1.473 6.969 O
```

=====

Record 2
Computed, not measured: a PBEsol-optimized structure of Tm2Sb2O7 at the meta-GGA SCAN level of DFT.

Raw formation energy (eV per atom): -2.607
Final energy (eV/atom): -22.77

The structure in POSCAR format:
```
Tm2Sb2O7
1.0
7.395 0.000 0.000
-3.697 6.404 0.000
0.000 0.000 18.153
Tm Sb O
12 12 42
Cartesian
-3.086 5.344 3.025 Tm
-3.089 5.350 12.102 Tm
0.609 1.055 0.000 Tm
0.612 1.060 9.076 Tm
-1.204 4.374 0.214 Tm
0.512 3.174 6.265 Tm
2.493 2.030 11.888 Tm
0.693 5.260 12.316 Tm
4.390 1.144 17.939 Tm
4.209 3.230 5.837 Tm
6.177 0.000 6.051 Tm
6.171 0.000 15.127 Tm
-1.142 1.978 12.102 Sb
-1.203 2.084 3.025 Sb
-1.234 4.276 9.094 Sb
2.284 0.000 6.051 Sb
2.406 0.000 15.127 Sb
0.611 3.198 15.145 Sb
2.464 2.128 3.008 Sb
0.622 5.335 3.043 Sb
4.320 1.069 9.059 Sb
2.494 4.320 9.076 Sb
2.556 4.426 0.000 Sb
4.309 3.206 15.110 Sb
-1.179 2.136 5.271 O
-2.929 5.212 9.623 O
-3.018 5.461 5.160 O
-1.234 2.817 14.589 O
-1.646 4.194 7.134 O
0.477 1.061 11.211 O
0.680 0.943 6.942 O
0.648 1.262 15.674 O
0.768 1.192 2.479 O
-1.064 4.387 2.507 O
-0.808 4.441 11.012 O
0.256 3.484 17.063 O
0.430 3.289 8.558 O
-1.259 6.357 17.373 O
2.439 0.047 12.881 O
0.888 2.882 13.185 O
-0.641 6.064 8.538 O
3.056 0.340 3.564 O
2.052 2.210 4.968 O
0.552 4.884 4.961 O
0.634 5.132 14.609 O
2.634 2.017 9.594 O
2.889 1.964 1.089 O
0.758 5.732 1.083 O
1.875 3.927 2.487 O
2.464 3.587 15.666 O
4.455 0.672 11.018 O
2.437 4.315 11.322 O
2.519 4.269 6.831 O
4.332 1.272 15.645 O
4.250 1.521 7.140 O
3.953 2.920 13.191 O
4.127 3.115 3.544 O
2.281 6.335 3.572 O
5.978 0.069 8.530 O
2.540 6.287 17.262 O
6.238 0.117 12.993 O
4.585 3.522 17.069 O
5.573 2.477 9.615 O
4.175 5.344 0.891 O
4.346 5.143 14.581 O
6.135 2.089 0.780 O
```